Here is a geometry-optimized Pr2Sm4Tl structure from Alexandria. Energies are from GGA-PBE.

Calculated values
- ΔE_f (eV/atom) = -0.017
- SG = Pmna (53)
- raw total energy (eV/atom) = -4.4174
- distance to the lowest polymorph of the same formula (meV/atom) = 7.0
- crystal system = orthorhombic
- V (Å³/cell) = 467.0

Lattice parameters (Å, degrees): 6.6604 6.4187 10.9233 90.00 90.00 90.00
Atoms (fractional coordinates):
Pr: 0.0000 0.2436 0.0426
Pr: 0.0000 0.7564 0.9574
Pr: 0.5000 0.2436 0.4574
Pr: 0.5000 0.7564 0.5426
Sm: 0.0000 0.0711 0.3460
Sm: 0.0000 0.9289 0.6540
Sm: 0.2500 0.3957 0.7500
Sm: 0.2500 0.6043 0.2500
Sm: 0.5000 0.0711 0.1540
Sm: 0.5000 0.9289 0.8460
Sm: 0.7500 0.3957 0.7500
Sm: 0.7500 0.6043 0.2500
Tl: 0.0000 0.5000 0.5000
Tl: 0.5000 0.5000 0.0000



Here is a geometry-optimized PrSmTl4 structure from Alexandria. Energies are from GGA-PBE.

Calculated values
- ΔE_f (eV/atom) = -0.281
- SG = P-1 (2)
- raw total energy (eV/atom) = -3.4417
- distance to the lowest polymorph of the same formula (meV/atom) = 0.0
- crystal system = triclinic
- V (Å³/cell) = 173.5

Lattice parameters (Å, degrees): 5.0824 6.3189 6.4120 89.21 67.23 67.66
Atoms (fractional coordinates):
Pr: 0.0000 0.0000 0.0000
Sm: 0.5000 0.5000 0.5000
Tl: 0.1858 0.4789 0.1502
Tl: 0.3145 0.0167 0.3539
Tl: 0.6855 0.9833 0.6461
Tl: 0.8142 0.5211 0.8498